# Y3Mg3Cu2Pd (GGA-PBE, relaxed)
data_Y3Mg3Cu2Pd
_chemical_formula_sum 'Y3 Mg3 Cu2 Pd1'
_space_group_name_H-M_alt 'P 1'
_space_group_IT_number 1
_cell_length_a 7.432
_cell_length_b 7.432
_cell_length_c 4.049
_cell_angle_alpha 90.00
_cell_angle_beta 90.00
_cell_angle_gamma 120.00
loop_
_space_group_symop_operation_xyz
'x,y,z'
loop_
_atom_site_label
_atom_site_fract_x
_atom_site_fract_y
_atom_site_fract_z
Y1 0.000 0.587 0.000
Y2 0.413 0.413 0.000
Y3 0.587 0.000 0.000
Mg1 0.000 0.244 0.500
Mg2 0.244 0.000 0.500
Mg3 0.756 0.756 0.500
Cu1 0.333 0.667 0.500
Cu2 0.667 0.333 0.500
Pd1 0.000 0.000 0.000
# Raw total energy: -4.439 eV/atom